The following is a DFT calculation (GGA+U) of a geometry-optimized VIrPdO2 structure.

```
5
Lattice="3.6736 0.0000 0.0000 0.0000 3.6736 0.0000 0.0000 0.0000 5.2624" Properties=species:S:1:pos:R:3 pbc="T T T"
V 0.0000 0.0000 0.0000
Ir 0.0000 0.0000 2.6312
Pd 1.8368 1.8368 2.6312
O 0.0000 1.8368 0.0000
O 1.8368 0.0000 0.0000
```

Values from the calculation:
Raw total energy ... -32.36 eV per cell
Fermi-level density of states ... 5.54 states/eV per cell
Total moment ... 0.36 μB per formula unit